# 1
Density functional theory data (PBE) for a relaxed CuTeSe2 crystal.

Output
Formation energy without anion corrections   0.08 kcal/mol of atoms

Cell and atoms, written as CIF:
```
data_CuTeSe2
_chemical_formula_sum 'Cu2 Te2 Se4'
_cell_length_a 3.856
_cell_length_b 7.591
_cell_length_c 7.874
_cell_angle_alpha 70.04
_cell_angle_beta 76.12
_cell_angle_gamma 75.31
_space_group_name_H-M_alt 'P 1'
_space_group_IT_number 1
loop_
_space_group_symop_operation_xyz
'x,y,z'
loop_
_atom_site_label
_atom_site_type_symbol
_atom_site_fract_x
_atom_site_fract_y
_atom_site_fract_z
_atom_site_occupancy
Cu1 Cu 0.000 0.000 0.000 1
Cu2 Cu 0.249 0.109 0.412 1
Te1 Te 0.525 0.573 0.390 1
Te2 Te 0.819 0.469 0.895 1
Se1 Se 0.035 0.223 0.698 1
Se2 Se 0.316 0.789 0.598 1
Se3 Se 0.573 0.798 0.057 1
Se4 Se 0.799 0.196 0.221 1
```


# 2
Density functional theory data (PBE) for a relaxed TcRhPb2 crystal.

Output
Formation energy   0.534 eV per atom

Cell and atoms, written as CIF:
```
data_TcRhPb2
_chemical_formula_sum 'Tc2 Rh2 Pb4'
_cell_length_a 3.964
_cell_length_b 3.964
_cell_length_c 10.209
_cell_angle_alpha 90.00
_cell_angle_beta 90.00
_cell_angle_gamma 90.00
_space_group_name_H-M_alt 'I -4 m 2'
_space_group_IT_number 119
_space_group_name_Hall 'I -4 -2'
loop_
_atom_site_label
_atom_site_type_symbol
_atom_site_fract_x
_atom_site_fract_y
_atom_site_fract_z
_atom_site_occupancy
Tc1 Tc 0.000 0.000 0.000 1
Rh1 Rh 0.000 0.500 0.250 1
Pb1 Pb 0.000 0.000 0.500 1
Pb2 Pb 0.000 0.500 0.750 1
```


# 3
Density functional theory data (PBE) for a relaxed K2As crystal.

Output
Formation energy   -0.142 eV per atom

Cell and atoms, written as CIF:
```
data_K2As
_chemical_formula_sum 'K8 As4'
_cell_length_a 4.072
_cell_length_b 4.072
_cell_length_c 31.045
_cell_angle_alpha 90.00
_cell_angle_beta 90.00
_cell_angle_gamma 90.00
_space_group_name_H-M_alt 'I 41/a m d'
_space_group_IT_number 141
loop_
_space_group_symop_operation_xyz
'x,y,z'
'-x,-y,-z'
'-y+1/4,x+3/4,z+1/4'
'y+1/4,-x+3/4,-z+1/4'
'-x+1/2,-y,z+1/2'
'x+1/2,y,-z+1/2'
'y+1/4,-x+1/4,z+3/4'
'-y+1/4,x+1/4,-z+3/4'
'x,-y,-z'
'-x,y,z'
'-y+1/4,-x+1/4,-z+3/4'
'y+1/4,x+1/4,z+3/4'
'-x+1/2,y,-z+1/2'
'x+1/2,-y,z+1/2'
'y+1/4,x+3/4,-z+1/4'
'-y+1/4,-x+3/4,z+1/4'
'x+1/2,y+1/2,z+1/2'
'-x+1/2,-y+1/2,-z+1/2'
'-y+3/4,x+1/4,z+3/4'
'y+3/4,-x+1/4,-z+3/4'
'-x,-y+1/2,z'
'x,y+1/2,-z'
'y+3/4,-x+3/4,z+1/4'
'-y+3/4,x+3/4,-z+1/4'
'x+1/2,-y+1/2,-z+1/2'
'-x+1/2,y+1/2,z+1/2'
'-y+3/4,-x+3/4,-z+1/4'
'y+3/4,x+3/4,z+1/4'
'-x,y+1/2,-z'
'x,-y+1/2,z'
'y+3/4,x+1/4,-z+3/4'
'-y+3/4,-x+1/4,z+3/4'
loop_
_atom_site_label
_atom_site_type_symbol
_atom_site_fract_x
_atom_site_fract_y
_atom_site_fract_z
_atom_site_occupancy
K1 K 0.000 0.250 0.318 1
As1 As 0.000 0.250 0.875 1
```


# 4
Density functional theory data (PBE) for a relaxed La3YHf4O14 crystal.

Output
Formation energy without anion corrections   -73.30 kcal/mol of atoms

Cell and atoms, written as CIF:
```
data_La3YHf4O14
_chemical_formula_sum 'La9 Y3 Hf12 O42'
_cell_length_a 7.3927
_cell_length_b 7.3927
_cell_length_c 18.9210
_cell_angle_alpha 90.00
_cell_angle_beta 90.00
_cell_angle_gamma 120.00
_space_group_name_H-M_alt 'R -3 m'
_space_group_IT_number 166
_space_group_name_Hall '-R 3 2"'
loop_
_atom_site_label
_atom_site_type_symbol
_atom_site_fract_x
_atom_site_fract_y
_atom_site_fract_z
_atom_site_occupancy
La1 La 0.0000 0.5000 0.0000 1
Y1 Y 0.0000 0.0000 0.5000 1
Hf1 Hf 0.0000 0.0000 0.0000 1
Hf2 Hf 0.0000 0.5000 0.5000 1
O1 O 0.0000 0.0000 0.1388 1
O2 O 0.0042 0.5021 0.1239 1
O3 O 0.0268 0.5134 0.6178 1
```


Ordered M_tot results: 0.00 3.53 0.00 0.00; unit Bohr magnetons per cell.